[1]
VASP calculation (GGA-PBE) on a relaxed structure of LiAcHgPt. Values from VASP.

Properties
energy of formation = -0.521 eV per atom

Cell and atoms, written as Quantum ESPRESSO input:
```
&SYSTEM
  ibrav = 0, nat = 4, ntyp = 4
/
ATOMIC_SPECIES
Li 6.94 Li.upf
Hg 200.59 Hg.upf
Pt 195.08 Pt.upf
Ac 227.00 Ac.upf
CELL_PARAMETERS angstrom
5.1988 0.0000 0.0000
2.5994 4.5023 0.0000
2.5994 1.5008 4.2448
ATOMIC_POSITIONS angstrom
Li 7.7981 4.5023 3.1836
Hg 5.1988 3.0015 2.1224
Pt 0.0000 0.0000 0.0000
Ac 2.5994 1.5008 1.0612
```



[2]
VASP calculation (GGA-PBE) on a relaxed structure of LiAcPuHg. Values from VASP.

Properties
energy of formation = 0.029 eV per atom

Cell and atoms, written as Quantum ESPRESSO input:
```
&SYSTEM
  ibrav = 0, nat = 4, ntyp = 4
/
ATOMIC_SPECIES
Ac 227.00 Ac.upf
Hg 200.59 Hg.upf
Li 6.94 Li.upf
Pu 244.00 Pu.upf
CELL_PARAMETERS angstrom
-4.6856 -2.8294 0.6577
0.0613 -5.5102 -0.1630
-0.8428 -2.9036 4.6099
ATOMIC_POSITIONS angstrom
Ac -4.1003 -8.4324 3.8285
Hg -2.7335 -5.6216 2.5523
Li 0.0000 0.0000 0.0000
Pu -1.3668 -2.8108 1.2762
```



[3]
VASP calculation (GGA-PBE) on a relaxed structure of LiAc2HgRu. Values from VASP.

Properties
energy of formation = -0.254 eV per atom

Cell and atoms, written as Quantum ESPRESSO input:
```
&SYSTEM
  ibrav = 0, nat = 10, ntyp = 4
/
ATOMIC_SPECIES
Hg 200.59 Hg.upf
Ac 227.00 Ac.upf
Li 6.94 Li.upf
Ru 101.07 Ru.upf
CELL_PARAMETERS angstrom
4.3123 0.0000 0.0000
0.0000 8.2505 0.4306
0.0000 -3.0043 7.7566
ATOMIC_POSITIONS angstrom
Hg 3.2342 0.8417 5.2761
Hg 1.0781 4.4045 2.9111
Ac 3.2342 5.3936 5.4932
Ac 1.0781 -0.6248 7.6275
Li 1.0781 2.6914 5.3585
Ru 3.2342 0.6108 0.7697
Ac 3.2342 5.8710 0.5596
Ru 1.0781 4.6355 7.4174
Ac 1.0781 -0.1473 2.6940
Li 3.2342 2.5548 2.8286
```